Computed, not measured: crystalline SrZnP2O7 at its relaxed geometry at the PBE level of DFT.

Unit cell a=5.388 b=8.305 c=14.030 alpha=90.00 beta=112.24 gamma=90.00
Fractional positions:
Sr  0.009  0.164  0.221
Sr  0.009  0.336  0.721
Sr  0.991  0.664  0.279
Sr  0.991  0.836  0.779
Zn  0.276  0.653  0.603
Zn  0.276  0.847  0.103
Zn  0.724  0.153  0.897
Zn  0.724  0.347  0.397
P  0.335  0.200  0.021
P  0.335  0.300  0.521
P  0.420  0.034  0.667
P  0.420  0.466  0.167
P  0.580  0.534  0.833
P  0.580  0.966  0.333
P  0.665  0.700  0.479
P  0.665  0.800  0.979
O  0.113  0.189  0.913
O  0.113  0.311  0.413
O  0.195  0.057  0.707
O  0.195  0.443  0.207
O  0.271  0.096  0.100
O  0.271  0.404  0.600
O  0.317  0.618  0.764
O  0.317  0.882  0.264
O  0.321  0.114  0.554
O  0.321  0.386  0.054
O  0.379  0.669  0.474
O  0.379  0.831  0.974
O  0.483  0.642  0.154
O  0.483  0.858  0.654
O  0.517  0.142  0.346
O  0.517  0.358  0.846
O  0.621  0.169  0.026
O  0.621  0.331  0.526
O  0.679  0.614  0.946
O  0.679  0.886  0.446
O  0.683  0.118  0.736
O  0.683  0.382  0.236
O  0.729  0.596  0.400
O  0.729  0.904  0.900
O  0.805  0.557  0.793
O  0.805  0.943  0.293
O  0.887  0.689  0.587
O  0.887  0.811  0.087

DOS(E_F) (states/eV/cell): 0.0
Magnetic moment (μB per cell): 0.00
ΔE_f (raw) (eV per atom): -2.40
Final energy (eV/f.u.): -74.89